Computed, not measured: a crystal of LiTlAu2 relaxed with PBEsol at the meta-GGA SCAN level of DFT.

Cell and atoms, written as CIF:
```
data_LiTlAu2
_chemical_formula_sum 'Li1 Tl1 Au2'
_symmetry_space_group_name_H-M 'P 1'
_symmetry_Int_Tables_number 1
_cell_length_a 3.369
_cell_length_b 3.369
_cell_length_c 6.418
_cell_angle_alpha 90.00
_cell_angle_beta 90.00
_cell_angle_gamma 90.00
loop_
_symmetry_equiv_pos_as_xyz
'x,y,z'
loop_
_atom_site_label
_atom_site_type_symbol
_atom_site_fract_x
_atom_site_fract_y
_atom_site_fract_z
_atom_site_occupancy
Tl1 Tl 0.500 0.500 0.500 1
Au1 Au 0.000 0.000 0.213 1
Au2 Au 0.000 0.000 0.787 1
Li1 Li 0.500 0.500 0.000 1
```

Properties
space-group type = P4/mmm (123)
energy relative to the elements = -274 meV/atom

=====

Computed, not measured: a crystal of KTcRu2 relaxed with PBEsol at the meta-GGA SCAN level of DFT.

Cell and atoms, written as CIF:
```
data_KTcRu2
_chemical_formula_sum 'K1 Tc1 Ru2'
_symmetry_space_group_name_H-M 'P 1'
_symmetry_Int_Tables_number 1
_cell_length_a 2.752
_cell_length_b 4.589
_cell_length_c 6.707
_cell_angle_alpha 96.33
_cell_angle_beta 90.00
_cell_angle_gamma 107.45
loop_
_symmetry_equiv_pos_as_xyz
'x,y,z'
loop_
_atom_site_label
_atom_site_type_symbol
_atom_site_fract_x
_atom_site_fract_y
_atom_site_fract_z
_atom_site_occupancy
Tc1 Tc 0.000 0.000 0.500 1
K1 K 0.500 0.000 0.000 1
Ru1 Ru 0.275 0.551 0.353 1
Ru2 Ru 0.725 0.449 0.647 1
```

Properties
space-group type = C2/m (12)
energy relative to the elements = 856 meV/atom
energy above the lowest structure with this stoichiometry = 0.0000 eV/atom

=====

Computed, not measured: a crystal of TlSiAu2 relaxed with PBEsol at the meta-GGA SCAN level of DFT.

Cell and atoms, written as CIF:
```
data_TlSiAu2
_chemical_formula_sum 'Tl1 Si1 Au2'
_symmetry_space_group_name_H-M 'P 1'
_symmetry_Int_Tables_number 1
_cell_length_a 4.758
_cell_length_b 4.758
_cell_length_c 4.758
_cell_angle_alpha 60.00
_cell_angle_beta 60.00
_cell_angle_gamma 60.00
loop_
_symmetry_equiv_pos_as_xyz
'x,y,z'
loop_
_atom_site_label
_atom_site_type_symbol
_atom_site_fract_x
_atom_site_fract_y
_atom_site_fract_z
_atom_site_occupancy
Au1 Au 0.750 0.750 0.750 1
Au2 Au 0.000 0.000 0.000 1
Tl1 Tl 0.250 0.250 0.250 1
Si1 Si 0.500 0.500 0.500 1
```

Properties
space-group type = F-43m (216)
energy above the lowest structure with this stoichiometry = 0.4828 eV/atom
formation energy without anion corrections = 469 meV per atom

=====

Computed, not measured: a crystal of KCrSeN2 relaxed with PBEsol at the meta-GGA SCAN level of DFT.

Cell and atoms, written as CIF:
```
data_KCrSeN2
_chemical_formula_sum 'K1 Cr1 Se1 N2'
_symmetry_space_group_name_H-M 'P 1'
_symmetry_Int_Tables_number 1
_cell_length_a 4.611
_cell_length_b 4.611
_cell_length_c 6.235
_cell_angle_alpha 90.00
_cell_angle_beta 90.00
_cell_angle_gamma 90.00
loop_
_symmetry_equiv_pos_as_xyz
'x,y,z'
loop_
_atom_site_label
_atom_site_type_symbol
_atom_site_fract_x
_atom_site_fract_y
_atom_site_fract_z
_atom_site_occupancy
Se1 Se 0.000 0.000 0.500 1
Cr1 Cr 0.500 0.500 0.500 1
N1 N 0.000 0.500 0.000 1
N2 N 0.500 0.000 0.000 1
K1 K 0.000 0.000 0.000 1
```

Properties
space-group type = P4/mmm (123)
formation energy without anion corrections = 1930 meV per atom